Li2MnO2F: relaxed, PBE with a Hubbard U.

Properties
* ΔE to the lowest computed polymorph: 7.55 kJ/mol of atoms

Cell: 5.136 5.136 9.824 Å, 93.72 93.72 117.66°
Fractional positions:
Li1 0.000 0.500 0.500
Li2 0.092 0.908 0.750
Li3 0.279 0.721 0.250
Li4 0.407 0.593 0.750
Li5 0.500 0.000 0.000
Li6 0.593 0.407 0.250
Li7 0.721 0.279 0.750
Li8 0.908 0.092 0.250
Mn1 0.184 0.362 0.000
Mn2 0.362 0.184 0.500
Mn3 0.638 0.816 0.500
Mn4 0.816 0.638 0.000
O1 0.089 0.609 0.881
O2 0.304 0.435 0.382
O3 0.391 0.911 0.619
O4 0.435 0.304 0.882
O5 0.565 0.696 0.118
O6 0.609 0.089 0.381
O7 0.696 0.565 0.618
O8 0.911 0.391 0.119
F1 0.048 0.213 0.622
F2 0.213 0.048 0.122
F3 0.787 0.952 0.878
F4 0.952 0.787 0.378